# Ac2LaY, relaxed, DFT GGA-PBE
# Total magnetic moment ... 0.0 μB per formula unit
# Polymorph energy (0 for the lowest one) ... 12 meV/atom
# Energy relative to the elements ... 0.1 eV/f.u.
# Theoretical density ... 7.17 Mg/m³
# Space-group type ... P4/mmm, No. 123
# DOS(E_F) ... 1.895 states/eV/atom
# Electronic total energy ... -19.464 eV for the cell shown
data_Ac2LaY
_chemical_formula_sum 'Ac2 La1 Y1'
_cell_length_a 3.867
_cell_length_b 3.867
_cell_length_c 10.560
_cell_angle_alpha 90.00
_cell_angle_beta 90.00
_cell_angle_gamma 90.00
_space_group_name_H-M_alt 'P 1'
_space_group_IT_number 1
_space_group_name_Hall 'P 1'
loop_
_atom_site_label
_atom_site_type_symbol
_atom_site_fract_x
_atom_site_fract_y
_atom_site_fract_z
Ac1 Ac 0.000 0.000 0.244
Ac2 Ac 0.000 0.000 0.756
La1 La 0.500 0.500 0.500
Y1 Y 0.500 0.500 0.000